This record from Alexandria describes a relaxed structure of Ac7Sm4Er. The functional is PBE-GGA.

Geometry as POSCAR:
```
Ac7Sm4Er
1.0
6.9950 0.0000 0.0000
0.7326 7.1119 0.0000
2.3758 -0.2004 9.7334
Ac Sm Er
7 4 1
direct
0.0000 0.0000 0.0000
0.2021 0.6270 0.4007
0.2963 0.1741 0.6326
0.4902 0.7485 0.0590
0.5098 0.2515 0.9410
0.7037 0.8259 0.3674
0.7979 0.3730 0.5993
0.1642 0.1429 0.2918
0.3505 0.6770 0.7308
0.6495 0.3230 0.2692
0.8358 0.8571 0.7082
0.0000 0.5000 0.0000
```

As for the energy of formation from the pure elements: 0.122 eV per atom. For the final energy, the calculation gives -0.1554 hartree per atom. The density of states at the Fermi level comes out at 18.86 states/eV/f.u. The volume comes out at 484.2 Å³/cell.

***

This record from Alexandria describes a relaxed structure of GaFeSiHN. The functional is PBE-GGA.

Geometry as POSCAR:
```
GaFeSiHN
1.0
2.8454 0.0000 0.0000
0.6479 4.3998 0.0000
0.8515 0.2258 4.4817
Ga Fe Si H N
1 1 1 1 1
direct
0.0000 0.0000 0.0000
0.6167 0.5506 0.9491
0.5462 0.4263 0.4409
0.5126 0.7445 0.6442
0.0222 0.2747 0.6254
```

The offset from the most stable computed form is 212 meV/atom. For the final energy, the calculation gives -0.2117 hartree per atom. The density of states at the Fermi level comes out at 2.75 states/eV/f.u. The volume comes out at 56.1 Å³/cell.

***

This record from Alexandria describes a relaxed structure of Ac2DyPd. The functional is PBE-GGA.

Geometry as POSCAR:
```
Ac2DyPd
1.0
1.8774 1.0839 11.6425
-1.8774 1.0839 11.6425
0.0000 -2.1679 11.6425
Ac Dy Pd
2 1 1
direct
0.0794 0.0794 0.0794
0.9206 0.9206 0.9206
0.5000 0.5000 0.5000
0.0000 0.0000 0.0000
```

The offset from the most stable computed form is 458 meV/atom. As for the energy of formation from the pure elements: 0.170 eV per atom. For the final energy, the calculation gives -0.1592 hartree per atom. The density of states at the Fermi level comes out at 4.59 states/eV/f.u. The volume comes out at 142.2 Å³/cell.

***

This record from Alexandria describes a relaxed structure of Rb2AuC. The functional is PBE-GGA.

Geometry as POSCAR:
```
Rb2AuC
1.0
-4.2763 4.2763 4.7431
4.2763 -4.2763 4.7431
4.2763 4.2763 -4.7431
Rb Au C
4 2 2
direct
0.0874 0.6250 0.9624
0.3750 0.3374 0.4624
0.6626 0.1250 0.0376
0.8750 0.9126 0.5376
0.2500 0.7500 0.5000
0.5000 0.5000 0.0000
0.0000 0.0000 0.0000
0.7500 0.2500 0.5000
```

As for the energy of formation from the pure elements: 1.082 eV per atom. For the final energy, the calculation gives -0.0929 hartree per atom. The density of states at the Fermi level comes out at 0.00 states/eV/f.u. The volume comes out at 346.9 Å³/cell.

***

This record from Alexandria describes a relaxed structure of CaTeBrCl. The functional is PBE-GGA.

Geometry as POSCAR:
```
CaTeBrCl
1.0
4.4349 0.0000 0.0000
-1.3542 5.2605 0.0000
-0.7964 -0.6311 5.7958
Ca Te Br Cl
1 1 1 1
direct
0.0000 0.0000 0.0000
0.6309 0.1940 0.3707
0.3944 0.8487 0.6646
0.8926 0.4819 0.0451
```

The offset from the most stable computed form is 0 meV/atom. For the final energy, the calculation gives -0.1264 hartree per atom. The volume comes out at 135.2 Å³/cell.

***

This record from Alexandria describes a relaxed structure of KPu2Cl6. The functional is PBE-GGA.

Geometry as POSCAR:
```
KPu2Cl6
1.0
7.2568 0.0000 0.0000
-3.6284 6.2846 0.0000
0.0000 0.0000 6.8016
K Pu Cl
1 2 6
direct
0.0000 0.0000 0.0000
0.3333 0.6667 0.5000
0.6667 0.3333 0.5000
0.0000 0.3659 0.7283
0.0000 0.6341 0.2717
0.3659 0.0000 0.7283
0.3659 0.3659 0.2717
0.6341 0.0000 0.2717
0.6341 0.6341 0.7283
```

The offset from the most stable computed form is 0 meV/atom. For the final energy, the calculation gives -0.2386 hartree per atom. The density of states at the Fermi level comes out at 23.10 states/eV/f.u. The volume comes out at 310.2 Å³/cell.

***

Q: What is the formula in the second record?
A: GaFeSiHN

***

Q: What is the formula in the fourth record?
A: Rb2AuC